LiAg2Sn: relaxed, PBE-GGA.

a = 4.6307 Å, b = 4.6307 Å, c = 8.3759 Å
α = 90.00°, β = 90.00°, γ = 120.00°
Positions (direct):
Li 0.0000 0.0000 0.0000
Li 0.0000 0.0000 0.5000
Ag 0.3333 0.6667 0.0855
Ag 0.3333 0.6667 0.4145
Ag 0.6667 0.3333 0.5855
Ag 0.6667 0.3333 0.9145
Sn 0.3333 0.6667 0.7500
Sn 0.6667 0.3333 0.2500

**Calculated total energy**: -3.0966 eV per atom